# 1
SrPr2Zn3 | PBE | optimized geometry

## Properties
Calculated density: 5.8 Mg/m³
Magnetization: 0.00 μB/f.u.
E_form: -6.1 kcal/mol of atoms
Energy: -2.77 eV per atom
SG: P4/mmm, No. 123

Lattice parameters (Å, degrees): 3.764 3.764 11.403 90.00 90.00 90.00
Element x y z (fractional)
Sr: 0.000 0.000 0.000
Pr: 0.000 0.000 0.340
Pr: 0.000 0.000 0.660
Zn: 0.500 0.500 0.186
Zn: 0.500 0.500 0.500
Zn: 0.500 0.500 0.814

# 2
HoAl3Ir | PBE | optimized geometry

## Properties
Calculated density: 7.7 Mg/m³
Magnetization: 0.00 μB/f.u.
E_form: -16.4 kcal/mol of atoms
Energy: -5.64 eV per atom
SG: P2_1/m, No. 11

Lattice parameters (Å, degrees): 6.828 4.120 6.945 90.00 105.51 90.00
Element x y z (fractional)
Ho: 0.201 0.250 0.172
Ho: 0.799 0.750 0.828
Al: 0.079 0.250 0.650
Al: 0.337 0.750 0.902
Al: 0.348 0.750 0.517
Al: 0.652 0.250 0.483
Al: 0.663 0.250 0.098
Al: 0.921 0.750 0.350
Ir: 0.456 0.250 0.739
Ir: 0.544 0.750 0.261

# 3
KTaCl | PBE | optimized geometry

## Properties
Calculated density: 6.2 Mg/m³
Magnetization: 0.69 μB/f.u.
Energy: -4.75 eV per atom
SG: P3m1, No. 156
ΔE to the lowest computed polymorph: 0.00 kJ/mol of atoms

Lattice parameters (Å, degrees): 3.243 3.243 7.514 90.00 90.00 120.00
Element x y z (fractional)
K: 0.000 0.000 0.000
Ta: 0.667 0.333 0.401
Cl: 0.333 0.667 0.640

# 4
La4Ga | PBE | optimized geometry

## Properties
Calculated density: 6.3 Mg/m³
Magnetization: 0.00 μB/f.u.
E_form: -4.7 kcal/mol of atoms
Energy: -4.75 eV per atom
SG: P-42_1c, No. 114
ΔE to the lowest computed polymorph: 0.00 kJ/mol of atoms

Lattice parameters (Å, degrees): 6.648 6.648 7.458 90.00 90.00 90.00
Element x y z (fractional)
La: 0.125 0.267 0.347
La: 0.233 0.375 0.847
La: 0.267 0.875 0.653
La: 0.375 0.767 0.153
La: 0.625 0.233 0.153
La: 0.733 0.125 0.653
La: 0.767 0.625 0.847
La: 0.875 0.733 0.347
Ga: 0.000 0.000 0.000
Ga: 0.500 0.500 0.500

# 5
Zn6PdPt2 | PBE | optimized geometry

## Properties
Calculated density: 10.5 Mg/m³
Magnetization: 0.00 μB/f.u.
E_form: -6.7 kcal/mol of atoms
Energy: -3.06 eV per atom
SG: C2/m, No. 12
ΔE to the lowest computed polymorph: 2.72 kJ/mol of atoms

Lattice parameters (Å, degrees): 7.496 7.496 7.113 111.60 111.60 22.23
Element x y z (fractional)
Zn: 0.007 0.007 0.317
Zn: 0.165 0.165 0.043
Zn: 0.167 0.167 0.678
Zn: 0.833 0.833 0.322
Zn: 0.835 0.835 0.957
Zn: 0.993 0.993 0.683
Pd: 0.500 0.500 0.000
Pt: 0.335 0.335 0.640
Pt: 0.665 0.665 0.360

# 6
YPaPd14 | PBE | optimized geometry

## Properties
Calculated density: 11.3 Mg/m³
Magnetization: 0.00 μB/f.u.
E_form: -10.5 kcal/mol of atoms
Energy: -6.00 eV per atom
SG: P4/mmm, No. 123

Lattice parameters (Å, degrees): 5.819 5.819 7.839 90.00 90.00 90.00
Element x y z (fractional)
Y: 0.000 0.000 0.000
Pa: 0.500 0.500 0.000
Pd: 0.000 0.000 0.500
Pd: 0.000 0.500 0.000
Pd: 0.000 0.500 0.500
Pd: 0.254 0.254 0.255
Pd: 0.254 0.254 0.745
Pd: 0.254 0.746 0.255
Pd: 0.254 0.746 0.745
Pd: 0.500 0.000 0.000
Pd: 0.500 0.000 0.500
Pd: 0.500 0.500 0.500
Pd: 0.746 0.254 0.255
Pd: 0.746 0.254 0.745
Pd: 0.746 0.746 0.255
Pd: 0.746 0.746 0.745

# 7
Mg3TiGa | PBE | optimized geometry

## Properties
Calculated density: 2.6 Mg/m³
Magnetization: 1.64 μB/f.u.
E_form: 13.3 kcal/mol of atoms
Energy: -2.57 eV per atom
SG: Pm-3m, No. 221
ΔE to the lowest computed polymorph: 0.00 kJ/mol of atoms

Lattice parameters (Å, degrees): 4.968 4.968 4.968 90.00 90.00 90.00
Element x y z (fractional)
Mg: 0.000 0.000 0.500
Mg: 0.000 0.500 0.000
Mg: 0.500 0.000 0.000
Ti: 0.500 0.500 0.500
Ga: 0.000 0.000 0.000

# 8
Cs3KNi | PBE | optimized geometry

## Properties
Calculated density: 1.5 Mg/m³
Magnetization: 0.91 μB/f.u.
E_form: 20.3 kcal/mol of atoms
Energy: -1.01 eV per atom
SG: Pm-3m, No. 221

Lattice parameters (Å, degrees): 8.182 8.182 8.182 90.00 90.00 90.00
Element x y z (fractional)
Cs: 0.000 0.000 0.500
Cs: 0.000 0.500 0.000
Cs: 0.500 0.000 0.000
K: 0.000 0.000 0.000
Ni: 0.500 0.500 0.500

Question: What is the formula in the fourth record?
Answer: La4Ga

Question: The highest magnetization belongs to which entry?
Answer: Mg3TiGa

Question: Among the records above, which one has the highest calculated density?
Answer: YPaPd14